1.
A relaxed Li2CoSnHg crystal, computed with PBEsol.

Structure (POSCAR):
```
Li2CoSnHg
1.0
4.9953 0.0000 0.0000
0.0000 4.9953 0.0000
0.0000 0.0000 5.3057
Li Co Sn Hg
2 1 1 1
Direct
0.0000 0.5000 0.0000
0.5000 0.0000 0.0000
0.0000 0.0000 0.5000
0.5000 0.5000 0.0000
0.5000 0.5000 0.5000
```

## Properties
Electronic total energy in eV per atom: -2.373
Formation energy in eV per atom: 0.927
Fermi-level density of states in states/eV/atom: 1.32

2.
A relaxed MgCo2Hg crystal, computed with PBEsol.

Structure (POSCAR):
```
MgCo2Hg
1.0
1.4112 0.8148 8.6330
-1.4112 0.8148 8.6330
0.0000 -1.6295 8.6330
Mg Co Hg
1 2 1
Direct
0.0000 0.0000 0.0000
0.2515 0.2515 0.2515
0.7485 0.7485 0.7485
0.5000 0.5000 0.5000
```

## Properties
Electronic total energy in eV per atom: -3.976
Formation energy in eV per atom: 0.463
Fermi-level density of states in states/eV/atom: 1.32

3.
A relaxed MgCo2Hg crystal, computed with PBEsol.

Structure (POSCAR):
```
MgCo2Hg
1.0
-1.9542 1.9542 3.7227
1.9542 -1.9542 3.7227
1.9542 1.9542 -3.7227
Mg Co Hg
1 2 1
Direct
0.0000 0.0000 0.0000
0.5000 0.5000 0.0000
0.7500 0.2500 0.5000
0.2500 0.7500 0.5000
```

## Properties
Electronic total energy in eV per atom: -4.199
Formation energy in eV per atom: 0.241
Fermi-level density of states in states/eV/atom: 1.08

4.
A relaxed MgCo2Hg crystal, computed with PBEsol.

Structure (POSCAR):
```
MgCo2Hg
1.0
-1.9050 1.9050 3.9157
1.9050 -1.9050 3.9157
1.9050 1.9050 -3.9157
Mg Co Hg
1 2 1
Direct
0.0000 0.0000 0.0000
0.2500 0.7500 0.5000
0.7500 0.2500 0.5000
0.5000 0.5000 0.0000
```

## Properties
Electronic total energy in eV per atom: -4.177
Formation energy in eV per atom: 0.263
Fermi-level density of states in states/eV/atom: 1.78

5.
A relaxed MgCo2Hg crystal, computed with PBEsol.

Structure (POSCAR):
```
MgCo2Hg
1.0
2.8027 0.0000 0.0000
0.0000 3.8181 0.0000
0.0000 0.0000 5.3914
Mg Co Hg
1 2 1
Direct
0.0000 0.0000 0.0000
0.5000 0.5000 0.2179
0.5000 0.5000 0.7821
0.0000 0.0000 0.5000
```

## Properties
Electronic total energy in eV per atom: -4.130
Formation energy in eV per atom: 0.309
Fermi-level density of states in states/eV/atom: 1.12

6.
A relaxed MgCoHg3 crystal, computed with PBEsol.

Structure (POSCAR):
```
MgCoHg3
1.0
5.1791 0.0000 0.0000
0.0000 5.1791 0.0000
0.0000 0.0000 5.1791
Mg Co Hg
1 1 3
Direct
0.0000 0.0000 0.0000
0.5000 0.5000 0.5000
0.0000 0.0000 0.5000
0.0000 0.5000 0.0000
0.5000 0.0000 0.0000
```

## Properties
Electronic total energy in eV per atom: -1.230
Formation energy in eV per atom: 1.001
Fermi-level density of states in states/eV/atom: 0.88

7.
A relaxed MnCoHg crystal, computed with PBEsol.

Structure (POSCAR):
```
MnCoHg
1.0
0.0000 2.9824 2.9824
2.9824 0.0000 2.9824
2.9824 2.9824 0.0000
Mn Co Hg
1 1 1
Direct
0.0000 0.0000 0.0000
0.5000 0.5000 0.5000
0.2500 0.2500 0.2500
```

## Properties
Electronic total energy in eV per atom: -5.109
Formation energy in eV per atom: 0.913
Fermi-level density of states in states/eV/atom: 1.05

8.
A relaxed MnCo2Hg crystal, computed with PBEsol.

Structure (POSCAR):
```
MnCo2Hg
1.0
2.6445 0.0000 0.0000
0.0000 2.6445 0.0000
0.0000 0.0000 7.0993
Mn Co Hg
1 2 1
Direct
0.0000 0.0000 0.0000
0.5000 0.5000 0.2083
0.5000 0.5000 0.7917
0.0000 0.0000 0.5000
```

## Properties
Electronic total energy in eV per atom: -6.127
Formation energy in eV per atom: 0.324
Fermi-level density of states in states/eV/atom: 1.12

9.
A relaxed MnCo2Hg crystal, computed with PBEsol.

Structure (POSCAR):
```
MnCo2Hg
1.0
0.0000 2.9928 2.9928
2.9928 0.0000 2.9928
2.9928 2.9928 0.0000
Mn Co Hg
1 2 1
Direct
0.0000 0.0000 0.0000
0.5000 0.5000 0.5000
0.7500 0.7500 0.7500
0.2500 0.2500 0.2500
```

## Properties
Electronic total energy in eV per atom: -6.035
Formation energy in eV per atom: 0.415
Fermi-level density of states in states/eV/atom: 1.20

10.
A relaxed MnCo3Hg crystal, computed with PBEsol.

Structure (POSCAR):
```
MnCo3Hg
1.0
4.6426 0.0000 0.0000
0.0000 4.6426 0.0000
0.0000 0.0000 4.6426
Mn Co Hg
1 3 1
Direct
0.0000 0.0000 0.0000
0.0000 0.5000 0.5000
0.5000 0.0000 0.5000
0.5000 0.5000 0.0000
0.5000 0.5000 0.5000
```

## Properties
Electronic total energy in eV per atom: -4.735
Formation energy in eV per atom: 1.973
Fermi-level density of states in states/eV/atom: 2.83

11.
A relaxed MnCoHg2 crystal, computed with PBEsol.

Structure (POSCAR):
```
MnCoHg2
1.0
1.4888 0.8596 8.5922
-1.4888 0.8596 8.5922
0.0000 -1.7191 8.5922
Mn Co Hg
1 1 2
Direct
0.0000 0.0000 0.0000
0.5000 0.5000 0.5000
0.2472 0.2472 0.2472
0.7528 0.7528 0.7528
```

## Properties
Electronic total energy in eV per atom: -4.155
Formation energy in eV per atom: 0.503
Fermi-level density of states in states/eV/atom: 1.25

12.
A relaxed MnCo2Hg crystal, computed with PBEsol.

Structure (POSCAR):
```
MnCo2Hg
1.0
2.9394 0.0000 0.0000
0.0000 2.9394 0.0000
0.0000 0.0000 6.2215
Mn Co Hg
1 2 1
Direct
0.0000 0.0000 0.0000
0.0000 0.0000 0.4076
0.5000 0.5000 0.2185
0.5000 0.5000 0.6954
```

## Properties
Electronic total energy in eV per atom: -6.180
Formation energy in eV per atom: 0.270
Fermi-level density of states in states/eV/atom: 0.68

> Which formula does entry 10 have?

MnCo3Hg

Repeat the twelfth record exactly.
A relaxed MnCo2Hg crystal, computed with PBEsol.

Structure (POSCAR):
```
MnCo2Hg
1.0
2.9394 0.0000 0.0000
0.0000 2.9394 0.0000
0.0000 0.0000 6.2215
Mn Co Hg
1 2 1
Direct
0.0000 0.0000 0.0000
0.0000 0.0000 0.4076
0.5000 0.5000 0.2185
0.5000 0.5000 0.6954
```

## Properties
Electronic total energy in eV per atom: -6.180
Formation energy in eV per atom: 0.270
Fermi-level density of states in states/eV/atom: 0.68

> Which formula does entry 9 have?

MnCo2Hg

> electronic total energy of number 11 (MnCoHg2)?

-4.155 eV per atom